*w*
Computed, not measured: a relaxed LaPd2Au2 crystal at the PBE-GGA level of DFT.

Crystal system: monoclinic
Space-group type: P2_1/m (11)

Lattice parameters (Å, degrees): 4.7197 5.3283 8.3752 79.45 90.00 90.00
Element x y z (fractional)
1 La 0.2500 0.7252 0.2433
2 La 0.7500 0.2748 0.7567
3 Pd 0.2500 0.6004 0.6182
4 Pd 0.7500 0.3996 0.3818
5 Pd 0.2500 0.3448 0.9870
6 Pd 0.7500 0.6552 0.0130
7 Au 0.2500 0.8761 0.8615
8 Au 0.7500 0.1239 0.1385
9 Au 0.2500 0.1434 0.5082
10 Au 0.7500 0.8566 0.4918

***

*x*
Computed, not measured: a relaxed LaPd2Au2 crystal at the PBE-GGA level of DFT.

Crystal system: tetragonal
Space-group type: I4/mmm (139)

Lattice parameters (Å, degrees): 4.0973 4.0973 12.9800 99.08 99.08 90.00
Element x y z (fractional)
1 La 0.6231 0.6231 0.2462
2 La 0.3769 0.3769 0.7538
3 Pd 0.7500 0.2500 0.5000
4 Pd 0.9257 0.9257 0.8513
5 Pd 0.0743 0.0743 0.1487
6 Pd 0.2500 0.7500 0.5000
7 Au 0.0000 0.5000 0.0000
8 Au 0.1780 0.1780 0.3559
9 Au 0.5000 0.0000 0.0000
10 Au 0.8220 0.8220 0.6441

***

Order of stability, best first: *w*, *x*